The following is a DFT calculation (PBE) of crystalline Y2Mn16Os at its relaxed geometry.

a = 6.3575 Å, b = 6.3575 Å, c = 6.3575 Å
α = 86.03°, β = 86.03°, γ = 86.03°
Atoms (fractional coordinates):
Y 0.0000 0.0000 0.0000
Y 0.2882 0.2882 0.2882
Mn 0.1448 0.6433 0.6433
Mn 0.2874 0.2874 0.7698
Mn 0.2874 0.7698 0.2874
Mn 0.3676 0.6463 0.9226
Mn 0.3676 0.9226 0.6463
Mn 0.5217 0.9990 0.9990
Mn 0.6433 0.1448 0.6433
Mn 0.6433 0.6433 0.1448
Mn 0.6463 0.3676 0.9226
Mn 0.6463 0.9226 0.3676
Mn 0.7479 0.7479 0.7479
Mn 0.7698 0.2874 0.2874
Mn 0.9226 0.3676 0.6463
Mn 0.9226 0.6463 0.3676
Mn 0.9990 0.5217 0.9990
Mn 0.9990 0.9990 0.5217
Os 0.5435 0.5435 0.5435

Its density is 8.11 g cm⁻³. The value obtained for the final energy is -0.3307 hartree per atom. The formation energy comes out at -0.005 eV per atom. The value obtained for the size of the total moment is 4.92 μB/f.u.